A:
TmLuNb: relaxed, PBE-GGA.

Structure (CIF):
```
data_TmLuNb
_space_group_name_H-M_alt 'F -4 3 m'
_space_group_IT_number 216
_space_group_name_Hall 'F -4 2 3'
_cell_length_a 7.066
_cell_length_b 7.066
_cell_length_c 7.066
_cell_angle_alpha 90.00
_cell_angle_beta 90.00
_cell_angle_gamma 90.00
loop_
_atom_site_label
_atom_site_fract_x
_atom_site_fract_y
_atom_site_fract_z
_atom_site_occupancy
Tm1 0.000 0.000 0.000 1
Lu1 0.000 0.000 0.500 1
Nb1 0.250 0.250 0.750 1
```

B:
TmLuNb: relaxed, PBE-GGA.

Structure (CIF):
```
data_TmLuNb
_space_group_name_H-M_alt 'P -6 m 2'
_space_group_IT_number 187
_space_group_name_Hall 'P -6 2'
_cell_length_a 5.3335
_cell_length_b 5.3335
_cell_length_c 3.0599
_cell_angle_alpha 90.00
_cell_angle_beta 90.00
_cell_angle_gamma 120.00
loop_
_atom_site_label
_atom_site_fract_x
_atom_site_fract_y
_atom_site_fract_z
_atom_site_occupancy
Tm1 0.0000 0.0000 0.0000 1
Lu1 0.3333 0.6667 0.0000 1
Nb1 0.6667 0.3333 0.0000 1
```

Result of the stability comparison: A is the least stable of them.